VASP calculation (GGA+U) on crystalline HfInCo2O6 at its relaxed geometry.

## Properties
space group: R3 (146)
raw total energy: -71.00 eV for the cell shown

Lattice parameters (Å, degrees): 5.229 5.229 5.624 62.29 62.29 60.00
Last column: magnetic moment on the atom in μB.
Atoms (fractional coordinates):
Hf 0.314 0.314 0.058  0.02
In 0.804 0.804 0.588  0.00
Co 0.525 0.525 0.426  2.65
Co 0.009 0.009 0.972  0.07
O 0.631 0.221 0.233  0.02
O 0.221 0.915 0.233  0.02
O 0.915 0.631 0.233  0.02
O 0.374 0.737 0.758  0.02
O 0.737 0.130 0.758  0.02
O 0.131 0.374 0.758  0.02